[1]
A plane-wave DFT calculation with PBE was carried out for a relaxed ZrBrO2 crystal.

Geometry as POSCAR:
```
ZrBrO2
1.0
0.000 2.944 2.944
2.944 0.000 2.944
2.944 2.944 0.000
Zr Br O
1 1 2
Cartesian
0.000 0.000 0.000
2.944 2.944 2.944
1.472 1.472 1.472
4.416 4.416 4.416
```

## Properties
total magnetic moment = 0.0 μB per formula unit
density = 6.61 g cm⁻³
ΔE to the lowest computed polymorph = 1249 meV/atom

=====

[2]
A plane-wave DFT calculation with PBE was carried out for a relaxed Zr2BrO2 crystal.

Geometry as POSCAR:
```
Zr2BrO2
1.0
-1.984 1.984 5.089
1.984 -1.984 5.089
1.984 1.984 -5.089
Zr Br O
2 1 2
Cartesian
0.000 0.000 1.570
0.000 0.000 8.609
0.000 0.000 5.089
1.984 0.000 2.545
0.000 1.984 2.545
```

## Properties
total magnetic moment = 0.0 μB per formula unit
density = 6.10 g cm⁻³

=====

Number 1: formation energy without anion corrections -0.922 eV per atom. Number 2: formation energy without anion corrections -2.092 eV per atom.